A relaxed structure of Dy3FeGe3. Source: Alexandria, functional PBE.

D(E_F), states/eV/f.u.: 6.12
Energy of formation, meV per atom: -729.7

a b c (Å): 10.6801 4.2139 13.8720
angles (deg): 90.00 110.56 90.00
Last column: nearest neighbours and their distance in Å.
Space group C2/m (No. 12)
Asymmetric unit:
Dy  0.0268  0.0000  0.3816  6 Ge 2.92-3.16, 4 Fe 3.04-3.19
Dy  0.0989  0.0000  0.9199  7 Ge 2.94-3.20
Dy  0.2449  0.0000  0.2305  6 Ge 2.91-3.16, 2 Fe 3.24
Fe  0.2416  0.5000  0.4075  4 Ge 2.42-2.52
Ge  0.0450  0.5000  0.2411  1 Fe 2.52, 1 Ge 2.71
Ge  0.1238  0.5000  0.0753  2 Ge 2.71-2.73, 5 Dy 2.94-2.97
Ge  0.1418  0.5000  0.5456  3 Fe 2.42-2.50

A relaxed structure of DyFeNiGe2. Source: Alexandria, functional PBE.

D(E_F), states/eV/f.u.: 3.01
Energy of formation, meV per atom: -561.8

a b c (Å): 3.9631 3.9631 10.2117
angles (deg): 90.00 90.00 90.00
Last column: nearest neighbours and their distance in Å.
Space group I-4m2 (No. 119)
Asymmetric unit:
Dy  0.0000  0.0000  0.0000  8 Ge 3.08, 4 Fe 3.23, 4 Ni 3.23
Fe  0.0000  0.5000  0.2500  4 Ge 2.35
Ni  0.0000  0.5000  0.7500  4 Ge 2.35
Ge  0.0000  0.0000  0.3737  2 Fe 2.35, 2 Ni 2.35, 1 Ge 2.58

A relaxed structure of DyFeGe2Os. Source: Alexandria, functional PBE.

D(E_F), states/eV/f.u.: 4.68
Energy of formation, meV per atom: -411.8

a b c (Å): 4.0678 4.0678 10.3787
angles (deg): 90.00 90.00 90.00
Last column: nearest neighbours and their distance in Å.
Space group I-4m2 (No. 119)
Asymmetric unit:
Dy  0.0000  0.0000  0.0000  8 Ge 3.15, 4 Fe 3.30, 4 Os 3.30
Fe  0.0000  0.5000  0.2500  4 Ge 2.43
Ge  0.0000  0.0000  0.3773  2 Fe 2.43, 2 Os 2.43, 1 Ge 2.55
Os  0.0000  0.5000  0.7500  4 Ge 2.43

A relaxed structure of DyFeGe3Os. Source: Alexandria, functional PBE.

D(E_F), states/eV/f.u.: 2.29
Energy of formation, meV per atom: -69.2

a b c (Å): 7.6723 11.4905 5.5013
angles (deg): 90.00 90.00 90.00
Last column: nearest neighbours and their distance in Å.
Space group Cmcm (No. 63)
Asymmetric unit:
Dy  0.0000  0.2000  0.2500  2 Ge 2.86, 3 Os 3.04-3.16
Fe  0.0000  0.4558  0.7500  5 Ge 2.16-2.36
Ge  0.0000  0.2677  0.7500  1 Fe 2.16, 1 Os 2.33
Ge  0.2408  0.5000  0.0000  2 Fe 2.36, 2 Os 2.53
Os  0.0000  0.0646  0.7500  5 Ge 2.33-2.53

A relaxed structure of DyFeGe3Rh. Source: Alexandria, functional PBE.

D(E_F), states/eV/f.u.: 3.09
Energy of formation, meV per atom: -247.8

a b c (Å): 7.5852 10.9434 5.6488
angles (deg): 90.00 90.00 90.00
Last column: nearest neighbours and their distance in Å.
Space group Cmcm (No. 63)
Asymmetric unit:
Dy  0.0000  0.2469  0.2500  2 Ge 2.82, 1 Fe 3.14
Fe  0.0000  0.0401  0.7500  5 Ge 2.21-2.35
Ge  0.0000  0.2419  0.7500  1 Fe 2.21, 1 Rh 2.34
Ge  0.2406  0.0000  0.0000  2 Fe 2.35, 2 Rh 2.47
Rh  0.0000  0.4558  0.7500  5 Ge 2.34-2.47

A relaxed structure of DyFeGe2Rh. Source: Alexandria, functional PBE.

D(E_F), states/eV/f.u.: 2.80
Energy of formation, meV per atom: -665.3

a b c (Å): 4.1050 4.1050 10.0565
angles (deg): 90.00 90.00 90.00
Last column: nearest neighbours and their distance in Å.
Space group I-4m2 (No. 119)
Asymmetric unit:
Dy  0.0000  0.0000  0.0000  8 Ge 3.17, 4 Fe 3.25, 4 Rh 3.25
Fe  0.0000  0.5000  0.2500  4 Ge 2.40
Ge  0.0000  0.0000  0.3733  2 Fe 2.40, 2 Rh 2.40, 1 Ge 2.55
Rh  0.0000  0.5000  0.7500  4 Ge 2.40

A relaxed structure of DyFeGe2Ru. Source: Alexandria, functional PBE.

D(E_F), states/eV/f.u.: 5.15
Energy of formation, meV per atom: -532.2

a b c (Å): 4.0922 4.0922 10.2049
angles (deg): 90.00 90.00 90.00
Last column: nearest neighbours and their distance in Å.
Space group I-4m2 (No. 119)
Asymmetric unit:
Dy  0.0000  0.0000  0.0000  8 Ge 3.16, 4 Fe 3.27, 4 Ru 3.27
Fe  0.0000  0.5000  0.2500  4 Ge 2.41
Ge  0.0000  0.0000  0.3745  2 Fe 2.41, 2 Ru 2.41, 1 Ge 2.56
Ru  0.0000  0.5000  0.7500  4 Ge 2.41

A relaxed structure of DyFe6Sn4Ge2. Source: Alexandria, functional PBE.

D(E_F), states/eV/f.u.: 9.58
Energy of formation, meV per atom: -188.1

a b c (Å): 5.2875 5.2875 8.7291
angles (deg): 90.00 90.00 120.00
Last column: nearest neighbours and their distance in Å.
Space group P6/mmm (No. 191)
Asymmetric unit:
Dy  0.0000  0.0000  0.0000  2 Sn 2.93, 6 Ge 3.05
Fe  0.0000  0.5000  0.2317  2 Ge 2.53, 4 Fe 2.64, 4 Sn 2.80
Sn  0.0000  0.0000  0.3359  6 Fe 2.80, 1 Sn 2.87, 1 Dy 2.93
Sn  0.3333  0.6667  0.5000  6 Fe 2.80, 3 Sn 3.05
Ge  0.3333  0.6667  0.0000  6 Fe 2.53

A relaxed structure of DyFeTcGe3. Source: Alexandria, functional PBE.

D(E_F), states/eV/f.u.: 3.45
Energy of formation, meV per atom: -145.3

a b c (Å): 7.7138 10.7695 5.6199
angles (deg): 90.00 90.00 90.00
Last column: nearest neighbours and their distance in Å.
Space group Cmcm (No. 63)
Asymmetric unit:
Dy  0.0000  0.2437  0.2500  2 Ge 2.81, 1 Fe 2.96
Fe  0.0000  0.0312  0.7500  5 Ge 2.19-2.35
Tc  0.0000  0.4492  0.7500  5 Ge 2.31-2.50
Ge  0.0000  0.2343  0.7500  1 Fe 2.19, 1 Tc 2.31
Ge  0.2411  0.0000  0.0000  2 Fe 2.35, 2 Tc 2.50

A relaxed structure of DyZnFeGe2. Source: Alexandria, functional PBE.

D(E_F), states/eV/f.u.: 2.93
Energy of formation, meV per atom: -366.1

a b c (Å): 5.4373 5.5704 5.7303
angles (deg): 90.00 90.00 90.00
Last column: nearest neighbours and their distance in Å.
Space group Pmma (No. 51)
Asymmetric unit:
Dy  0.2500  0.0000  0.2258  2 Zn 2.91, 6 Ge 3.03-3.05
Zn  0.2500  0.5000  0.3737  2 Fe 2.54, 2 Ge 2.58
Fe  0.0000  0.5000  0.0000  4 Ge 2.47, 2 Zn 2.54, 2 Fe 2.72
Ge  0.2500  0.2380  0.7460  2 Fe 2.47, 1 Zn 2.58, 1 Ge 2.65

A relaxed structure of DyFe2H8. Source: Alexandria, functional PBE.

D(E_F), states/eV/f.u.: 2.95
Calculated total energy, eV/atom: -4.557

a b c (Å): 4.2226 7.6751 4.4213
angles (deg): 90.00 90.00 90.00
Last column: nearest neighbours and their distance in Å.
Space group Amm2 (No. 38)
Asymmetric unit:
Dy  0.0000  0.0000  0.0000  12 H 2.28-2.48
Fe  0.5000  0.1708  0.5383  8 H 1.63-1.73
H  0.2392  0.2232  0.2520  2 Fe 1.66-1.73, 1 H 1.72
H  0.2511  0.0000  0.5058  2 Fe 1.69
H  0.5000  0.1271  0.9002  2 Fe 1.63-1.67, 2 H 1.72

A relaxed structure of DyFeH6. Source: Alexandria, functional PBE.

D(E_F), states/eV/f.u.: 1.88
Calculated total energy, eV/atom: -4.371

a b c (Å): 4.3844 4.3844 10.6270
angles (deg): 90.00 90.00 120.00
Last column: nearest neighbours and their distance in Å.
Space group R-3m (No. 166, hexagonal axes)
Asymmetric unit:
Dy  0.0000  0.0000  0.0000  12 H 2.40
Fe  0.0000  0.0000  0.5000  6 H 1.56
H  0.0216  0.5108  0.9077  1 Fe 1.56